The following is a DFT calculation (PBE) of crystalline BaLaAu at its relaxed geometry.

```
data_BaLaAu
_cell_length_a 4.4699
_cell_length_b 4.4699
_cell_length_c 7.3274
_cell_angle_alpha 90.00
_cell_angle_beta 90.00
_cell_angle_gamma 120.00
_space_group_name_H-M_alt 'P 3 m 1'
_space_group_IT_number 156
loop_
_space_group_symop_operation_xyz
'x,y,z'
'-y,x-y,z'
'-x+y,-x,z'
'-y,-x,z'
'-x+y,y,z'
'x,x-y,z'
loop_
_atom_site_label
_atom_site_fract_x
_atom_site_fract_y
_atom_site_fract_z
Ba1 0.0000 0.0000 0.0000
La1 0.6667 0.3333 0.4997
Au1 0.3333 0.6667 0.7096
```

Computed properties:
* D(E_F): 4.0 states/eV/cell
* raw total energy: -3.74 eV/atom
* energy relative to the elements: -0.36 eV per atom
* ΔE to the lowest computed polymorph: 91 meV/atom